1.
! Ac2PrIn (GGA-PBE, optimized geometry); values from VASP
&SYSTEM
  ibrav = 0, nat = 8, ntyp = 3
/
ATOMIC_SPECIES
Ac 227.00 Ac.upf
Pr 140.91 Pr.upf
In 114.82 In.upf
CELL_PARAMETERS angstrom
5.979 0.000 0.000
0.000 6.482 -1.155
0.000 1.294 7.241
ATOMIC_POSITIONS angstrom
Ac 1.495 6.056 2.677
Ac 4.484 1.720 3.409
Ac 1.495 6.706 6.243
Ac 4.484 1.070 -0.157
Pr 1.495 3.389 5.011
Pr 4.484 4.387 1.075
In 1.495 2.539 1.415
In 4.484 5.237 4.671
! Symmetry   No. 11
! Total DFT energy (no corrections)   -4.1066 eV per atom
! Density of states at the Fermi level   5.620 states/eV/f.u.

***

2.
! Ac4PrIn2 (GGA-PBE, optimized geometry); values from VASP
&SYSTEM
  ibrav = 0, nat = 7, ntyp = 3
/
ATOMIC_SPECIES
Ac 227.00 Ac.upf
Pr 140.91 Pr.upf
In 114.82 In.upf
CELL_PARAMETERS angstrom
6.293 0.000 0.000
0.000 6.293 0.000
-3.146 -3.146 7.211
ATOMIC_POSITIONS angstrom
Ac 3.146 0.000 3.605
Ac 0.000 3.146 3.605
Ac 3.146 0.000 0.000
Ac 0.000 3.146 0.000
Pr 0.000 0.000 0.000
In 3.146 3.146 1.729
In 0.000 0.000 5.481
! Symmetry   No. 139
! Total DFT energy (no corrections)   -3.6453 eV per atom
! Density of states at the Fermi level   10.969 states/eV/f.u.